BaMg2Zn6 | Alexandria via LeMat-Bulk | PBE | optimized geometry; raw total energy = -1.532 eV per atom; D(E_F) = 0.438 states/eV per atom
1.0
-0.963 1.292 -4.235
-5.714 -3.867 -2.306
-6.476 3.312 0.058
Ba Mg Zn
1 2 6
Direct
0.000 0.000 0.000 Ba
0.860 0.640 0.640 Mg
0.140 0.360 0.360 Mg
0.718 0.092 0.471 Zn
0.282 0.908 0.529 Zn
0.282 0.529 0.908 Zn
0.500 0.667 0.333 Zn
0.500 0.333 0.667 Zn
0.718 0.471 0.092 Zn